Crystalline BaGe3Au at its relaxed geometry, computed with GGA-PBE.

Lattice parameters (Å, degrees): 5.215 5.215 5.215 90.00 90.00 90.00
Space group Pm-3m (No. 221)
Asymmetric unit:
Ba 0.000 0.000 0.000 [1 per cell]
Ge 0.000 0.500 0.500 [3 per cell]
Au 0.500 0.500 0.500 [1 per cell]

Its crystal system is cubic. As for the volume: 141.9 Å³/cell. For the formation enthalpy at 0 K, the calculation gives 105 meV per atom. For the calculated total energy, the calculation gives -18.528 eV/cell.